# 1
# LaBeAl2 (PBE-GGA, optimized geometry)
data_LaBeAl2
_chemical_formula_sum 'La3 Be3 Al6'
_cell_length_a 4.1183
_cell_length_b 4.1183
_cell_length_c 17.0751
_cell_angle_alpha 90.00
_cell_angle_beta 90.00
_cell_angle_gamma 120.00
_space_group_name_H-M_alt 'R -3 m'
_space_group_IT_number 166
_space_group_name_Hall '-R 3 2"'
loop_
_atom_site_label
_atom_site_fract_x
_atom_site_fract_y
_atom_site_fract_z
La1 0.0000 0.0000 0.0000
Be1 0.0000 0.0000 0.5000
Al1 0.0000 0.0000 0.2067
# * ΔE_f: -0.91 eV per formula unit



# 2
# LaBeAl2 (PBE-GGA, optimized geometry)
data_LaBeAl2
_chemical_formula_sum 'La2 Be2 Al4'
_cell_length_a 5.915
_cell_length_b 10.029
_cell_length_c 2.886
_cell_angle_alpha 90.00
_cell_angle_beta 106.92
_cell_angle_gamma 90.00
_space_group_name_H-M_alt 'C 1 2/m 1'
_space_group_IT_number 12
_space_group_name_Hall '-C 2y'
loop_
_atom_site_label
_atom_site_fract_x
_atom_site_fract_y
_atom_site_fract_z
La1 0.000 0.000 0.000
Be1 0.000 0.500 0.000
Al1 0.250 0.250 0.500
# * ΔE_f: 1.21 eV per formula unit



# 3
# LaBeAl2 (PBE-GGA, optimized geometry)
data_LaBeAl2
_chemical_formula_sum 'La1 Be1 Al2'
_cell_length_a 3.919
_cell_length_b 3.989
_cell_length_c 5.808
_cell_angle_alpha 90.00
_cell_angle_beta 109.18
_cell_angle_gamma 90.00
_space_group_name_H-M_alt 'P 1 m 1'
_space_group_IT_number 6
_space_group_name_Hall 'P -2y'
loop_
_atom_site_label
_atom_site_fract_x
_atom_site_fract_y
_atom_site_fract_z
La1 0.000 0.000 0.000
Be1 0.386 0.500 0.765
Al1 0.285 0.000 0.555
Al2 0.742 0.500 0.470
# * ΔE_f: -0.16 eV per formula unit



# 4
# LaBeAl2 (PBE-GGA, optimized geometry)
data_LaBeAl2
_chemical_formula_sum 'La1 Be1 Al2'
_cell_length_a 3.240
_cell_length_b 3.240
_cell_length_c 7.387
_cell_angle_alpha 90.00
_cell_angle_beta 90.00
_cell_angle_gamma 90.00
_space_group_name_H-M_alt 'P 4/m m m'
_space_group_IT_number 123
_space_group_name_Hall '-P 4 2'
loop_
_atom_site_label
_atom_site_fract_x
_atom_site_fract_y
_atom_site_fract_z
La1 0.000 0.000 0.000
Be1 0.000 0.000 0.500
Al1 0.500 0.500 0.321
# * ΔE_f: -0.02 eV per formula unit



# 5
# LaBeAl2 (PBE-GGA, optimized geometry)
data_LaBeAl2
_chemical_formula_sum 'La2 Be2 Al4'
_cell_length_a 3.081
_cell_length_b 4.948
_cell_length_c 10.316
_cell_angle_alpha 90.00
_cell_angle_beta 90.00
_cell_angle_gamma 90.00
_space_group_name_H-M_alt 'I m m m'
_space_group_IT_number 71
_space_group_name_Hall '-I 2 2'
loop_
_atom_site_label
_atom_site_fract_x
_atom_site_fract_y
_atom_site_fract_z
La1 0.000 0.000 0.000
Be1 0.000 0.000 0.500
Al1 0.000 0.500 0.210
# * ΔE_f: 0.45 eV per formula unit



# 6
# La2Be2Al (PBE-GGA, optimized geometry)
data_La2Be2Al
_chemical_formula_sum 'La4 Be4 Al2'
_cell_length_a 6.827
_cell_length_b 6.827
_cell_length_c 4.640
_cell_angle_alpha 90.00
_cell_angle_beta 90.00
_cell_angle_gamma 90.00
_space_group_name_H-M_alt 'P 4/m b m'
_space_group_IT_number 127
_space_group_name_Hall '-P 4 2ab'
loop_
_atom_site_label
_atom_site_fract_x
_atom_site_fract_y
_atom_site_fract_z
La1 0.177 0.323 0.000
Be1 0.118 0.618 0.500
Al1 0.000 0.000 0.500
# * ΔE_f: -0.04 eV per formula unit



# 7
# LiLaBeAl (PBE-GGA, optimized geometry)
data_LiLaBeAl
_chemical_formula_sum 'Li4 La4 Be4 Al4'
_cell_length_a 6.689
_cell_length_b 6.689
_cell_length_c 6.689
_cell_angle_alpha 90.00
_cell_angle_beta 90.00
_cell_angle_gamma 90.00
_space_group_name_H-M_alt 'F -4 3 m'
_space_group_IT_number 216
_space_group_name_Hall 'F -4 2 3'
loop_
_atom_site_label
_atom_site_fract_x
_atom_site_fract_y
_atom_site_fract_z
Li1 0.000 0.000 0.000
La1 0.250 0.250 0.250
Be1 0.000 0.000 0.500
Al1 0.250 0.250 0.750
# * ΔE_f: -0.36 eV per formula unit



# 8
# NaLaBeAl2 (PBE-GGA, optimized geometry)
data_NaLaBeAl2
_chemical_formula_sum 'Na1 La1 Be1 Al2'
_cell_length_a 4.623
_cell_length_b 4.623
_cell_length_c 4.993
_cell_angle_alpha 90.00
_cell_angle_beta 90.00
_cell_angle_gamma 90.00
_space_group_name_H-M_alt 'P 4/m m m'
_space_group_IT_number 123
_space_group_name_Hall '-P 4 2'
loop_
_atom_site_label
_atom_site_fract_x
_atom_site_fract_y
_atom_site_fract_z
Na1 0.000 0.000 0.000
La1 0.500 0.500 0.000
Be1 0.000 0.000 0.500
Al1 0.000 0.500 0.500
# * ΔE_f: 0.67 eV per formula unit



# 9
# La2BeNbAl (PBE-GGA, optimized geometry)
data_La2BeNbAl
_chemical_formula_sum 'La2 Be1 Nb1 Al1'
_cell_length_a 5.463
_cell_length_b 5.463
_cell_length_c 5.097
_cell_angle_alpha 90.00
_cell_angle_beta 90.00
_cell_angle_gamma 90.00
_space_group_name_H-M_alt 'P 4/m m m'
_space_group_IT_number 123
_space_group_name_Hall '-P 4 2'
loop_
_atom_site_label
_atom_site_fract_x
_atom_site_fract_y
_atom_site_fract_z
La1 0.000 0.500 0.000
Be1 0.000 0.000 0.500
Nb1 0.500 0.500 0.000
Al1 0.500 0.500 0.500
# * ΔE_f: 3.74 eV per formula unit



# 10
# La2Be3AlNi12 (PBE-GGA, optimized geometry)
data_La2Be3AlNi12
_chemical_formula_sum 'La6 Be9 Al3 Ni36'
_cell_length_a 7.4106
_cell_length_b 7.4106
_cell_length_c 16.4503
_cell_angle_alpha 90.00
_cell_angle_beta 90.00
_cell_angle_gamma 120.00
_space_group_name_H-M_alt 'R -3 m'
_space_group_IT_number 166
_space_group_name_Hall '-R 3 2"'
loop_
_atom_site_label
_atom_site_fract_x
_atom_site_fract_y
_atom_site_fract_z
La1 0.0000 0.0000 0.1092
Be1 0.0000 0.5000 0.0000
Al1 0.0000 0.0000 0.5000
Ni1 0.0111 0.5055 0.8745
Ni2 0.0436 0.5218 0.3650
# * ΔE_f: 2.48 eV per formula unit



# 11
# LaBe2AlOs (PBE-GGA, optimized geometry)
data_LaBe2AlOs
_chemical_formula_sum 'La1 Be2 Al1 Os1'
_cell_length_a 4.462
_cell_length_b 4.462
_cell_length_c 4.656
_cell_angle_alpha 90.00
_cell_angle_beta 90.00
_cell_angle_gamma 90.00
_space_group_name_H-M_alt 'P 4/m m m'
_space_group_IT_number 123
_space_group_name_Hall '-P 4 2'
loop_
_atom_site_label
_atom_site_fract_x
_atom_site_fract_y
_atom_site_fract_z
La1 0.000 0.000 0.000
Be1 0.000 0.500 0.500
Al1 0.500 0.500 0.000
Os1 0.500 0.500 0.500
# * ΔE_f: -0.85 eV per formula unit



# 12
# LaBeAl2Os2 (PBE-GGA, optimized geometry)
data_LaBeAl2Os2
_chemical_formula_sum 'La1 Be1 Al2 Os2'
_cell_length_a 4.359
_cell_length_b 4.359
_cell_length_c 5.575
_cell_angle_alpha 90.00
_cell_angle_beta 90.00
_cell_angle_gamma 90.00
_space_group_name_H-M_alt 'P 4/m m m'
_space_group_IT_number 123
_space_group_name_Hall '-P 4 2'
loop_
_atom_site_label
_atom_site_fract_x
_atom_site_fract_y
_atom_site_fract_z
La1 0.000 0.000 0.000
Be1 0.000 0.000 0.500
Al1 0.500 0.500 0.252
Os1 0.000 0.500 0.500
# * ΔE_f: -2.21 eV per formula unit



# 13
# LaBeAl2Os (PBE-GGA, optimized geometry)
data_LaBeAl2Os
_chemical_formula_sum 'La1 Be1 Al2 Os1'
_cell_length_a 4.724
_cell_length_b 4.724
_cell_length_c 4.494
_cell_angle_alpha 90.00
_cell_angle_beta 90.00
_cell_angle_gamma 90.00
_space_group_name_H-M_alt 'P 4/m m m'
_space_group_IT_number 123
_space_group_name_Hall '-P 4 2'
loop_
_atom_site_label
_atom_site_fract_x
_atom_site_fract_y
_atom_site_fract_z
La1 0.000 0.000 0.000
Be1 0.500 0.500 0.000
Al1 0.000 0.500 0.500
Os1 0.500 0.500 0.500
# * ΔE_f: -1.55 eV per formula unit



# 14
# LaBeAlP2 (PBE-GGA, optimized geometry)
data_LaBeAlP2
_chemical_formula_sum 'La1 Be1 Al1 P2'
_cell_length_a 5.464
_cell_length_b 5.464
_cell_length_c 6.161
_cell_angle_alpha 90.00
_cell_angle_beta 90.00
_cell_angle_gamma 90.00
_space_group_name_H-M_alt 'P 4/m m m'
_space_group_IT_number 123
_space_group_name_Hall '-P 4 2'
loop_
_atom_site_label
_atom_site_fract_x
_atom_site_fract_y
_atom_site_fract_z
La1 0.000 0.000 0.000
Be1 0.500 0.500 0.500
Al1 0.000 0.000 0.500
P1 0.000 0.500 0.000
# * ΔE_f: 6.85 eV per formula unit



# 15
# La2BeAl4Pd3 (PBE-GGA, optimized geometry)
data_La2BeAl4Pd3
_chemical_formula_sum 'La2 Be1 Al4 Pd3'
_cell_length_a 4.354
_cell_length_b 4.354
_cell_length_c 10.315
_cell_angle_alpha 90.00
_cell_angle_beta 90.00
_cell_angle_gamma 90.00
_space_group_name_H-M_alt 'P -4 m 2'
_space_group_IT_number 115
_space_group_name_Hall 'P -4 -2'
loop_
_atom_site_label
_atom_site_fract_x
_atom_site_fract_y
_atom_site_fract_z
La1 0.000 0.500 0.240
Be1 0.500 0.500 0.000
Al1 0.000 0.000 0.500
Al2 0.000 0.500 0.878
Al3 0.500 0.500 0.500
Pd1 0.000 0.000 0.000
Pd2 0.000 0.500 0.631
# * ΔE_f: -6.93 eV per formula unit



# 16
# LaBeAlPd3 (PBE-GGA, optimized geometry)
data_LaBeAlPd3
_chemical_formula_sum 'La4 Be4 Al4 Pd12'
_cell_length_a 5.775
_cell_length_b 11.989
_cell_length_c 6.344
_cell_angle_alpha 90.00
_cell_angle_beta 90.00
_cell_angle_gamma 90.00
_space_group_name_H-M_alt 'C m c m'
_space_group_IT_number 63
_space_group_name_Hall '-C 2c 2'
loop_
_atom_site_label
_atom_site_fract_x
_atom_site_fract_y
_atom_site_fract_z
La1 0.000 0.214 0.250
Be1 0.000 0.471 0.250
Al1 0.000 0.120 0.750
Pd1 0.000 0.328 0.750
Pd2 0.244 0.000 0.000
# * ΔE_f: -4.02 eV per formula unit



# 17
# La2BeAlPd6 (PBE-GGA, optimized geometry)
data_La2BeAlPd6
_chemical_formula_sum 'La4 Be2 Al2 Pd12'
_cell_length_a 6.495
_cell_length_b 6.508
_cell_length_c 9.166
_cell_angle_alpha 90.00
_cell_angle_beta 90.00
_cell_angle_gamma 90.00
_space_group_name_H-M_alt 'I m m m'
_space_group_IT_number 71
_space_group_name_Hall '-I 2 2'
loop_
_atom_site_label
_atom_site_fract_x
_atom_site_fract_y
_atom_site_fract_z
La1 0.000 0.000 0.250
Be1 0.000 0.500 0.000
Al1 0.000 0.500 0.500
Pd1 0.000 0.500 0.237
Pd2 0.237 0.263 0.000
# * ΔE_f: -6.43 eV per formula unit



# 18
# LaBeAlPd6 (PBE-GGA, optimized geometry)
data_LaBeAlPd6
_chemical_formula_sum 'La4 Be4 Al4 Pd24'
_cell_length_a 6.456
_cell_length_b 8.887
_cell_length_c 11.111
_cell_angle_alpha 90.00
_cell_angle_beta 90.00
_cell_angle_gamma 90.00
_space_group_name_H-M_alt 'I m m a'
_space_group_IT_number 74
_space_group_name_Hall '-I 2b 2'
loop_
_atom_site_label
_atom_site_fract_x
_atom_site_fract_y
_atom_site_fract_z
La1 0.000 0.250 0.190
Be1 0.000 0.000 0.500
Al1 0.250 0.250 0.750
Pd1 0.000 0.250 0.458
Pd2 0.000 0.250 0.924
Pd3 0.243 0.008 0.874
# * ΔE_f: -3.80 eV per formula unit



# 19
# LaBeAl2Pd4 (PBE-GGA, optimized geometry)
data_LaBeAl2Pd4
_chemical_formula_sum 'La3 Be3 Al6 Pd12'
_cell_length_a 4.2439
_cell_length_b 4.2439
_cell_length_c 26.3665
_cell_angle_alpha 90.00
_cell_angle_beta 90.00
_cell_angle_gamma 120.00
_space_group_name_H-M_alt 'R -3 m'
_space_group_IT_number 166
_space_group_name_Hall '-R 3 2"'
loop_
_atom_site_label
_atom_site_fract_x
_atom_site_fract_y
_atom_site_fract_z
La1 0.0000 0.0000 0.0000
Be1 0.0000 0.0000 0.5000
Al1 0.0000 0.0000 0.2342
Pd1 0.0000 0.0000 0.1365
Pd2 0.0000 0.0000 0.4091
# * ΔE_f: -6.34 eV per formula unit



# 20
# LaBeAlPt3 (PBE-GGA, optimized geometry)
data_LaBeAlPt3
_chemical_formula_sum 'La4 Be4 Al4 Pt12'
_cell_length_a 6.810
_cell_length_b 12.379
_cell_length_c 5.639
_cell_angle_alpha 90.00
_cell_angle_beta 90.00
_cell_angle_gamma 90.00
_space_group_name_H-M_alt 'C m c m'
_space_group_IT_number 63
_space_group_name_Hall '-C 2c 2'
loop_
_atom_site_label
_atom_site_fract_x
_atom_site_fract_y
_atom_site_fract_z
La1 0.000 0.217 0.250
Be1 0.000 0.092 0.750
Al1 0.000 0.471 0.750
Pt1 0.000 0.271 0.750
Pt2 0.206 0.000 0.000
# * ΔE_f: -5.06 eV per formula unit



What did we get for DFT total energy? Answer: -4.262; -3.733; -4.074; -4.039; -3.923; -4.219; -3.669; -3.357; -4.730; -5.093; -5.641; -6.802; -5.785; -3.273; -5.106; -5.332; -5.491; -5.261; -5.407; -5.930 eV per atom, in the order shown.